This record from Alexandria via LeMat-Bulk describes an optimized crystal structure of Pm2Dy4Y2Er. The functional is GGA-PBE.

Output
Size of the total moment   0.0 Bohr magnetons per cell
DFT formation energy   -0.0018 eV per atom

```
Pm2Dy4Y2Er
1.0
9.3453 -1.8004 0.0000
9.3453 1.8004 0.0000
-4.1536 0.0000 8.6208
Pm Dy Y Er
2 4 2 1
Cartesian
3.0927 0.0000 0.0031
11.4443 0.0000 8.6178
-1.0307 0.0000 2.8742
3.1257 0.0000 5.7309
11.4113 0.0000 2.8900
15.5677 0.0000 5.7466
5.2014 0.0000 2.9006
9.3356 0.0000 5.7203
9.3453 0.0000 0.0000
```